(1)
A plane-wave DFT calculation with meta-GGA SCAN was carried out for a PBEsol-optimized structure of BaPAu2.

a = 4.651 Å, b = 4.286 Å, c = 5.238 Å
α = 90.00°, β = 90.07°, γ = 90.00°
Fractional positions:
Ba 0.000 0.000 0.000
P 0.500 0.000 0.500
Au 0.500 0.500 0.249
Au 0.500 0.500 0.751

Computed properties:
* crystal system: monoclinic


(2)
A plane-wave DFT calculation with meta-GGA SCAN was carried out for a PBEsol-optimized structure of BaPb2Au.

a = 6.749 Å, b = 6.749 Å, c = 6.749 Å
α = 41.26°, β = 41.26°, γ = 41.26°
Fractional positions:
Ba 0.000 0.000 0.000
Pb 0.220 0.220 0.220
Pb 0.780 0.780 0.780
Au 0.500 0.500 0.500

Computed properties:
* crystal system: trigonal


(3)
A plane-wave DFT calculation with meta-GGA SCAN was carried out for a PBEsol-optimized structure of BaPbAu2.

a = 4.544 Å, b = 4.679 Å, c = 5.493 Å
α = 90.00°, β = 105.78°, γ = 90.00°
Fractional positions:
Ba 0.000 0.000 0.000
Pb 0.693 0.500 0.407
Au 0.394 0.000 0.561
Au 0.432 0.500 0.851

Computed properties:
* crystal system: monoclinic


(4)
A plane-wave DFT calculation with meta-GGA SCAN was carried out for a PBEsol-optimized structure of Ba2PbAu.

a = 5.921 Å, b = 5.921 Å, c = 3.943 Å
α = 90.00°, β = 90.00°, γ = 90.00°
Fractional positions:
Ba 0.000 0.500 0.000
Ba 0.500 0.000 0.000
Pb 0.000 0.000 0.500
Au 0.500 0.500 0.500

Computed properties:
* crystal system: tetragonal


(5)
A plane-wave DFT calculation with meta-GGA SCAN was carried out for a PBEsol-optimized structure of BaPb2Au.

a = 5.265 Å, b = 5.265 Å, c = 4.721 Å
α = 90.00°, β = 90.00°, γ = 105.30°
Fractional positions:
Ba 0.000 0.000 0.000
Pb 0.310 0.690 0.500
Pb 0.690 0.310 0.500
Au 0.500 0.500 0.000

Computed properties:
* crystal system: orthorhombic


(6)
A plane-wave DFT calculation with meta-GGA SCAN was carried out for a PBEsol-optimized structure of BaPbAu2.

a = 6.088 Å, b = 6.088 Å, c = 6.088 Å
α = 47.48°, β = 47.48°, γ = 47.48°
Fractional positions:
Ba 0.000 0.000 0.000
Pb 0.500 0.500 0.500
Au 0.212 0.212 0.212
Au 0.788 0.788 0.788

Computed properties:
* crystal system: trigonal


(7)
A plane-wave DFT calculation with meta-GGA SCAN was carried out for a PBEsol-optimized structure of Ba3PbAu.

a = 6.115 Å, b = 6.115 Å, c = 6.115 Å
α = 90.00°, β = 90.00°, γ = 90.00°
Fractional positions:
Ba 0.000 0.000 0.500
Ba 0.000 0.500 0.000
Ba 0.500 0.000 0.000
Pb 0.500 0.500 0.500
Au 0.000 0.000 0.000

Computed properties:
* crystal system: cubic


(8)
A plane-wave DFT calculation with meta-GGA SCAN was carried out for a PBEsol-optimized structure of BaPb2Au.

a = 4.008 Å, b = 6.563 Å, c = 6.563 Å
α = 45.39°, β = 90.00°, γ = 90.00°
Fractional positions:
Ba 0.000 0.000 0.000
Pb 0.000 0.715 0.715
Pb 0.500 0.294 0.294
Au 0.500 0.536 0.536

Computed properties:
* crystal system: orthorhombic


(9)
A plane-wave DFT calculation with meta-GGA SCAN was carried out for a PBEsol-optimized structure of BaPd2Au.

a = 4.876 Å, b = 4.876 Å, c = 4.876 Å
α = 60.00°, β = 60.00°, γ = 60.00°
Fractional positions:
Ba 0.000 0.000 0.000
Pd 0.250 0.250 0.250
Pd 0.750 0.750 0.750
Au 0.500 0.500 0.500

Computed properties:
* crystal system: cubic


(10)
A plane-wave DFT calculation with meta-GGA SCAN was carried out for a PBEsol-optimized structure of BaPtAu2.

a = 6.006 Å, b = 6.006 Å, c = 6.006 Å
α = 45.54°, β = 45.54°, γ = 45.54°
Fractional positions:
Ba 0.000 0.000 0.000
Pt 0.191 0.191 0.191
Au 0.509 0.509 0.509
Au 0.808 0.808 0.808

Computed properties:
* crystal system: trigonal
* relative energy among the computed polymorphs: 0 kJ/mol of formula units


(11)
A plane-wave DFT calculation with meta-GGA SCAN was carried out for a PBEsol-optimized structure of Ba2PtAu.

a = 7.965 Å, b = 7.965 Å, c = 7.965 Å
α = 33.03°, β = 33.03°, γ = 33.03°
Fractional positions:
Ba 0.244 0.244 0.244
Ba 0.756 0.756 0.756
Pt 0.500 0.500 0.500
Au 0.000 0.000 0.000

Computed properties:
* crystal system: trigonal


(12)
A plane-wave DFT calculation with meta-GGA SCAN was carried out for a PBEsol-optimized structure of BaPtAu2.

a = 5.996 Å, b = 5.996 Å, c = 5.996 Å
α = 45.39°, β = 45.39°, γ = 45.39°
Fractional positions:
Ba 0.000 0.000 0.000
Pt 0.500 0.500 0.500
Au 0.196 0.196 0.196
Au 0.804 0.804 0.804

Computed properties:
* crystal system: trigonal
* relative energy among the computed polymorphs: 1 kJ/mol of formula units


| no. | calculated total energy (eV per cell) |
| --- | --- |
| 1 | -190.9 |
| 2 | -262.3 |
| 3 | -255.9 |
| 4 | -227.1 |
| 5 | -262.7 |
| 6 | -256.0 |
| 7 | -266.2 |
| 8 | -262.3 |
| 9 | -175.2 |
| 10 | -250.5 |
| 11 | -221.8 |
| 12 | -250.5 |